Entry 1:
Computed, not measured: a relaxed structure of BeMoRhSe2 at the PBE level of DFT.

Crystal system: tetragonal
Formation energy without anion corrections, meV per atom: 976
SG: P4/mmm, No. 123
D(E_F), states/eV per cell: 4.45

```
5
Lattice="4.819 0.000 0.000 0.000 4.819 0.000 0.000 0.000 4.868" Properties=species:S:1:pos:R:3 pbc="T T T"
Be 0.000 0.000 0.000
Mo 2.409 2.409 2.434
Rh 2.409 2.409 0.000
Se 0.000 2.409 2.434
Se 2.409 0.000 2.434
```



Entry 2:
Computed, not measured: a relaxed structure of BeMo2Ru at the PBE level of DFT.

DFT formation energy, meV/atom: 30
Crystal system: orthorhombic
SG: Pmmm, No. 47
D(E_F), states/eV per cell: 2.27

```
4
Lattice="2.760 0.000 0.000 0.000 3.881 0.000 0.000 0.000 5.169" Properties=species:S:1:pos:R:3 pbc="T T T"
Be 0.000 0.000 0.000
Mo 1.380 1.940 1.253
Mo 1.380 1.940 3.916
Ru 0.000 0.000 2.584
```



Entry 3:
Computed, not measured: a relaxed structure of BeMoRu2 at the PBE level of DFT.

DFT formation energy, meV/atom: 52
Crystal system: monoclinic
SG: C2/m, No. 12
D(E_F), states/eV per cell: 3.05

```
4
Lattice="4.157 -1.368 0.000 4.157 1.368 0.000 -0.621 0.000 4.743" Properties=species:S:1:pos:R:3 pbc="T T T"
Be 0.000 0.000 0.000
Mo 3.847 0.000 2.372
Ru 1.640 0.000 3.658
Ru 6.053 0.000 1.085
```



Entry 4:
Computed, not measured: a relaxed structure of Be2MoRu2 at the PBE level of DFT.

DFT formation energy, meV/atom: 68
Crystal system: tetragonal
SG: P4/mbm, No. 127
E above lowest polymorph, meV/atom: 315
D(E_F), states/eV per cell: 8.28

```
10
Lattice="6.611 0.000 0.000 0.000 6.611 0.000 0.000 0.000 2.855" Properties=species:S:1:pos:R:3 pbc="T T T"
Be 0.980 2.326 0.000
Be 2.326 5.632 0.000
Be 4.285 0.980 0.000
Be 5.632 4.285 0.000
Mo 0.000 0.000 1.427
Mo 3.306 3.306 1.427
Ru 0.979 4.284 1.427
Ru 2.327 0.979 1.427
Ru 4.284 5.633 1.427
Ru 5.633 2.327 1.427
```



Entry 5:
Computed, not measured: a relaxed structure of BeMoRu2 at the PBE level of DFT.

DFT formation energy, meV/atom: 376
Crystal system: orthorhombic
SG: Immm, No. 71
D(E_F), states/eV per cell: 3.24

```
4
Lattice="-1.361 2.001 4.991 1.361 -2.001 4.991 1.361 2.001 -4.991" Properties=species:S:1:pos:R:3 pbc="T T T"
Be 0.000 0.000 0.000
Mo 0.000 0.000 4.991
Ru 0.000 0.000 2.049
Ru 0.000 0.000 7.933
```



Entry 6:
Computed, not measured: a relaxed structure of BeMoRu2 at the PBE level of DFT.

DFT formation energy, meV/atom: 271
Crystal system: cubic
SG: F-43m, No. 216
D(E_F), states/eV per cell: 5.46

```
4
Lattice="0.000 3.001 3.001 3.001 0.000 3.001 3.001 3.001 0.000" Properties=species:S:1:pos:R:3 pbc="T T T"
Be 0.000 0.000 0.000
Mo 1.501 1.501 1.501
Ru 3.001 3.001 3.001
Ru 4.502 4.502 4.502
```



Entry 7:
Computed, not measured: a relaxed structure of BeMoRu at the PBE level of DFT.

DFT formation energy, meV/atom: -251
Crystal system: orthorhombic
SG: Ima2, No. 46
E above lowest polymorph, meV/atom: 0
D(E_F), states/eV per cell: 5.06

```
6
Lattice="-2.315 2.825 2.839 2.315 -2.825 2.839 2.315 2.825 -2.839" Properties=species:S:1:pos:R:3 pbc="T T T"
Be 0.000 0.000 0.000
Be 2.315 0.000 0.000
Mo 1.157 1.958 -0.870
Mo 1.157 0.867 1.968
Ru 1.157 -0.930 3.813
Ru 1.157 3.756 0.974
```



Entry 8:
Computed, not measured: a relaxed structure of BeMo2Ru at the PBE level of DFT.

DFT formation energy, meV/atom: 129
Crystal system: orthorhombic
SG: Cmmm, No. 65
D(E_F), states/eV per cell: 3.22

```
4
Lattice="2.574 -3.986 0.000 2.574 3.986 0.000 0.000 0.000 2.727" Properties=species:S:1:pos:R:3 pbc="T T T"
Be 0.000 0.000 0.000
Mo 1.287 1.993 1.363
Mo 1.287 -1.993 1.363
Ru 2.574 0.000 0.000
```